#a
PaPIr2 (PBE-GGA, optimized geometry); space-group type = Cmmm (65); magnetization = 0.000 μB/f.u.
1.0
2.7407 -3.4685 0.0000
2.7407 3.4685 0.0000
0.0000 0.0000 3.8533
Pa P Ir
1 1 2
Cartesian
0.0000 0.0000 0.0000 Pa
2.7407 0.0000 0.0000 P
2.7407 1.4500 1.9266 Ir
2.7407 -1.4500 1.9266 Ir

#b
PaPIr2 (PBE-GGA, optimized geometry); space-group type = R-3m (166); magnetization = 0.000 μB/f.u.
1.0
2.0321 1.1732 4.9897
-2.0321 1.1732 4.9897
0.0000 -2.3465 4.9897
Pa P Ir
1 1 2
Cartesian
0.0000 0.0000 0.0000 Pa
0.0000 0.0000 7.4846 P
0.0000 0.0000 3.2600 Ir
0.0000 0.0000 11.7091 Ir

Stability ranking, top entry: #b; the second entry is 0.100 eV/atom less favorable.

#a
PIrPb3 (PBE-GGA, optimized geometry); space-group type = Pm-3m (221); magnetization = 0.000 μB/f.u.
1.0
5.2596 0.0000 0.0000
0.0000 5.2596 0.0000
0.0000 0.0000 5.2596
P Ir Pb
1 1 3
Cartesian
0.0000 0.0000 0.0000 P
2.6298 2.6298 2.6298 Ir
0.0000 0.0000 2.6298 Pb
0.0000 2.6298 0.0000 Pb
2.6298 0.0000 0.0000 Pb

#b
PIrPb3 (PBE-GGA, optimized geometry); space-group type = Pm-3m (221); magnetization = 0.000 μB/f.u.
1.0
5.2543 0.0000 0.0000
0.0000 5.2543 0.0000
0.0000 0.0000 5.2543
P Ir Pb
1 1 3
Cartesian
0.0000 0.0000 0.0000 P
2.6272 2.6272 2.6272 Ir
0.0000 2.6272 2.6272 Pb
2.6272 0.0000 2.6272 Pb
2.6272 2.6272 0.0000 Pb

Stability ranking, top entry: #b; the second entry is 0.655 eV/atom less favorable.

#a
P2IrPb2 (PBE-GGA, optimized geometry); space-group type = I4/mmm (139); magnetization = 0.000 μB/f.u.
1.0
-1.6672 1.6672 9.5944
1.6672 -1.6672 9.5944
1.6672 1.6672 -9.5944
P Ir Pb
2 1 2
Cartesian
1.6672 0.0000 4.7972 P
0.0000 1.6672 4.7972 P
0.0000 0.0000 0.0000 Ir
0.0000 0.0000 7.7959 Pb
0.0000 0.0000 11.3929 Pb

#b
P2IrPb2 (PBE-GGA, optimized geometry); space-group type = P4/mbm (127); magnetization = 0.000 μB/f.u.
1.0
6.0740 0.0000 0.0000
0.0000 6.0740 0.0000
0.0000 0.0000 5.7113
P Ir Pb
4 2 4
Cartesian
0.7790 2.2580 0.0000 P
2.2580 5.2950 0.0000 P
3.8160 0.7790 0.0000 P
5.2950 3.8160 0.0000 P
0.0000 0.0000 0.0000 Ir
3.0370 3.0370 0.0000 Ir
1.1428 4.1798 2.8557 Pb
1.8942 1.1428 2.8557 Pb
4.1798 4.9312 2.8557 Pb
4.9312 1.8942 2.8557 Pb

Stability ranking, top entry: #b; the second entry is 0.389 eV/atom less favorable.

#a
TaTePIrPtPb (PBE-GGA, optimized geometry); space-group type = P1 (1); magnetization = 0.000 μB/f.u.
1.0
3.8105 0.0000 0.0000
0.0993 4.1459 0.0000
0.1856 1.0067 8.0353
Ta Te P Ir Pt Pb
1 1 1 1 1 1
Cartesian
0.0000 0.0000 0.0000 Ta
2.1876 0.6811 2.8481 Te
2.2131 4.2360 6.6096 P
2.3750 2.0442 0.5932 Ir
0.4024 2.9727 2.4168 Pt
0.2726 2.4951 5.3121 Pb

#b
TaTePIrPtPb (PBE-GGA, optimized geometry); space-group type = P1 (1); magnetization = 0.000 μB/f.u.
1.0
4.3410 0.0000 0.0000
-2.1578 4.6779 0.0000
-0.0102 -0.2298 6.6624
Ta Te P Ir Pt Pb
1 1 1 1 1 1
Cartesian
0.0000 0.0000 0.0000 Ta
2.1646 -0.1002 4.5784 Te
2.1745 3.1241 1.8318 P
2.1693 1.5524 0.1063 Ir
2.1778 2.9799 4.3952 Pt
0.0017 1.4961 2.6699 Pb

Stability ranking, top entry: #a; the second entry is 0.083 eV/atom less favorable.